Entry 1:
## K3V2CuO8 (PBE+U)

Data for a relaxed structure of K3V2CuO8.

Cell and atoms, written as extended XYZ:
```
14
Lattice="-5.6029 1.0335 -0.5296 1.8080 -5.1348 1.7623 -0.2379 2.3621 7.1266" Properties=species:S:1:pos:R:3 pbc="T T T"
K -0.8277 -1.4362 5.9538
K -3.2051 -0.3030 2.4054
K 0.0000 0.0000 0.0000
V -0.7254 -2.4522 2.8886
V -3.3074 0.7130 5.4706
Cu -0.1190 1.1811 3.5633
O -0.6721 -2.9815 1.2916
O -3.3607 1.2424 7.0677
O 0.5099 -3.3209 3.8011
O -4.5427 1.5817 4.5582
O -0.4071 -0.7168 2.9074
O -3.6257 -1.0223 5.4519
O -2.3316 -2.7967 3.5325
O -1.7012 1.0576 4.8268
```

* VASP energy: -6.057 eV per atom
* DOS(E_F): 1.55 states/eV/f.u.

---

Entry 2:
## KCuW2O8 (PBE+U)

Data for a relaxed structure of KCuW2O8.

Cell and atoms, written as extended XYZ:
```
12
Lattice="5.4091 0.0000 0.0000 -2.7046 4.6844 0.0000 0.0000 0.0000 6.8864" Properties=species:S:1:pos:R:3 pbc="T T T"
K 0.0000 0.0000 3.4432
Cu 0.0000 0.0000 0.0000
W 2.7046 1.5615 0.6398
W 0.0000 3.1230 6.2466
O 3.4137 2.9912 6.0542
O 1.1118 1.4607 6.0542
O 3.5882 0.2325 6.0542
O -0.7091 1.6932 0.8322
O 1.5927 3.2237 0.8322
O -0.8836 4.4519 0.8322
O 2.7046 1.5615 2.4131
O 0.0000 3.1230 4.4733
```

* VASP energy: -6.452 eV per atom

---

Entry 3:
## K3CuW2O9 (PBE+U)

Data for a relaxed structure of K3CuW2O9.

Cell and atoms, written as extended XYZ:
```
15
Lattice="5.6482 0.0000 0.0000 -2.8241 4.8915 0.0000 0.0000 0.0000 6.9505" Properties=species:S:1:pos:R:3 pbc="T T T"
K 0.0000 3.2610 4.6068
K 0.0000 0.0000 0.0000
K 2.8241 1.6305 2.3437
Cu 0.0000 0.0000 3.4752
W 0.0000 3.2610 1.2349
W 2.8241 1.6305 5.7156
O 4.2021 0.8349 4.7030
O 2.8241 3.2217 4.7030
O 1.4461 0.8349 4.7030
O 1.3780 4.0566 2.2474
O 0.0000 1.6698 2.2474
O -1.3780 4.0566 2.2474
O 2.8241 0.0000 0.0000
O -1.4120 2.4457 0.0000
O 1.4120 2.4457 0.0000
```

* VASP energy: -6.112 eV per atom
* DOS(E_F): 7.19 states/eV/f.u.

---

Entry 4:
## K2CuW3O12 (PBE+U)

Data for a relaxed structure of K2CuW3O12.

Cell and atoms, written as extended XYZ:
```
18
Lattice="7.1867 -0.0745 -0.0529 3.4844 6.2860 -0.0529 3.4844 2.0282 5.9500" Properties=species:S:1:pos:R:3 pbc="T T T"
K 9.0481 5.2668 3.7357
K 5.1074 2.9729 2.1087
Cu 0.0000 0.0000 0.0000
W 3.5934 -0.0373 -0.0264
W 1.7422 3.1430 -0.0264
W 1.7422 1.0141 2.9750
O 6.6524 3.8722 5.5722
O 11.0820 6.4506 1.7662
O 8.7766 7.7600 5.5041
O 8.9713 2.5552 1.8124
O 11.0820 3.7994 5.5041
O 6.6524 6.5391 1.8124
O 7.5031 4.3674 0.2721
O 3.0735 1.7890 4.0781
O 5.3788 0.4797 0.3402
O 5.1842 5.6844 4.0319
O 3.0735 4.4403 0.3402
O 7.5031 1.7006 4.0319
```

* VASP energy: -6.547 eV per atom
* DOS(E_F): 3.41 states/eV/f.u.